# 1
! AlSiPd2 (PBE, relaxed); values from VASP
! Fermi-level density of states, states/eV per cell: 6.49
! Uncorrected formation energy, kJ/mol of formula units: -205
! DFT total energy, eV per cell: -65.03
&SYSTEM
  ibrav = 0, nat = 12, ntyp = 3
/
ATOMIC_SPECIES
Al 26.98 Al.upf
Si 28.09 Si.upf
Pd 106.42 Pd.upf
CELL_PARAMETERS angstrom
2.944 0.000 0.000
-1.472 2.550 0.000
0.000 0.000 23.740
ATOMIC_POSITIONS crystal
Al 0.000 0.000 0.000
Al 0.333 0.667 0.667
Al 0.667 0.333 0.333
Si 0.000 0.000 0.166
Si 0.333 0.667 0.833
Si 0.667 0.333 0.500
Pd 0.000 0.000 0.421
Pd 0.000 0.000 0.579
Pd 0.333 0.667 0.088
Pd 0.333 0.667 0.246
Pd 0.667 0.333 0.754
Pd 0.667 0.333 0.912



# 2
! Pm2Cu15Ir2 (PBE, relaxed); values from VASP
! Fermi-level density of states, states/eV per cell: 9.19
! DFT total energy, eV per cell: -90.85
&SYSTEM
  ibrav = 0, nat = 19, ntyp = 3
/
ATOMIC_SPECIES
Pm 145.00 Pm.upf
Cu 63.55 Cu.upf
Ir 192.22 Ir.upf
CELL_PARAMETERS angstrom
4.324 2.496 4.199
-4.324 2.496 4.199
0.000 -4.992 4.199
ATOMIC_POSITIONS crystal
Pm 0.163 0.163 0.163
Pm 0.837 0.837 0.837
Cu 0.000 0.500 0.500
Cu 0.150 0.150 0.651
Cu 0.150 0.651 0.150
Cu 0.210 0.500 0.790
Cu 0.210 0.790 0.500
Cu 0.349 0.850 0.850
Cu 0.500 0.000 0.500
Cu 0.500 0.210 0.790
Cu 0.500 0.500 0.000
Cu 0.500 0.790 0.210
Cu 0.651 0.150 0.150
Cu 0.790 0.210 0.500
Cu 0.790 0.500 0.210
Cu 0.850 0.349 0.850
Cu 0.850 0.850 0.349
Ir 0.396 0.396 0.396
Ir 0.604 0.604 0.604



# 3
! SiIO (PBE, relaxed); values from VASP
! Fermi-level density of states, states/eV per cell: 1.70
! Uncorrected formation energy, kJ/mol of formula units: -326
! DFT total energy, eV per cell: -45.92
&SYSTEM
  ibrav = 0, nat = 9, ntyp = 3
/
ATOMIC_SPECIES
Si 28.09 Si.upf
I 126.90 I.upf
O 16.00 O.upf
CELL_PARAMETERS angstrom
7.237 0.000 0.000
-3.619 6.268 0.000
0.000 0.000 6.890
ATOMIC_POSITIONS crystal
Si 0.218 0.107 0.000
Si 0.890 0.782 0.333
Si 0.893 0.110 0.667
I 0.514 0.483 0.168
I 0.517 0.031 0.835
I 0.969 0.486 0.502
O 0.059 0.936 0.165
O 0.064 0.123 0.832
O 0.877 0.941 0.499



# 4
! Li2TaIn (PBE, relaxed); values from VASP
! Fermi-level density of states, states/eV per cell: 9.48
! DFT total energy, eV per cell: -52.37
&SYSTEM
  ibrav = 0, nat = 12, ntyp = 3
/
ATOMIC_SPECIES
Li 6.94 Li.upf
Ta 180.95 Ta.upf
In 114.82 In.upf
CELL_PARAMETERS angstrom
2.945 0.000 0.000
-1.473 2.551 0.000
0.000 0.000 30.376
ATOMIC_POSITIONS crystal
Li 0.000 0.000 0.250
Li 0.000 0.000 0.750
Li 0.333 0.667 0.416
Li 0.333 0.667 0.917
Li 0.667 0.333 0.083
Li 0.667 0.333 0.584
Ta 0.000 0.000 0.000
Ta 0.333 0.667 0.667
Ta 0.667 0.333 0.333
In 0.000 0.000 0.500
In 0.333 0.667 0.167
In 0.667 0.333 0.833



# 5
! Pu2ClF4 (PBE, relaxed); values from VASP
! Fermi-level density of states, states/eV per cell: 21.24
! Uncorrected formation energy, kJ/mol of formula units: -2138
! DFT total energy, eV per cell: -60.16
&SYSTEM
  ibrav = 0, nat = 7, ntyp = 3
/
ATOMIC_SPECIES
Pu 244.00 Pu.upf
Cl 35.45 Cl.upf
F 19.00 F.upf
CELL_PARAMETERS angstrom
2.090 1.207 7.776
-2.090 1.207 7.776
0.000 -2.414 7.776
ATOMIC_POSITIONS crystal
Pu 0.241 0.241 0.241
Pu 0.759 0.759 0.759
Cl 0.000 0.000 0.000
F 0.137 0.137 0.137
F 0.420 0.420 0.420
F 0.580 0.580 0.580
F 0.863 0.863 0.863



# 6
! Na10B13C7 (PBE, relaxed); values from VASP
! Fermi-level density of states, states/eV per cell: 7.54
! DFT total energy, eV per cell: -161.83
&SYSTEM
  ibrav = 0, nat = 30, ntyp = 3
/
ATOMIC_SPECIES
Na 22.99 Na.upf
B 10.81 B.upf
C 12.01 C.upf
CELL_PARAMETERS angstrom
8.544 0.000 0.000
0.000 1.414 12.663
0.000 -1.414 12.663
ATOMIC_POSITIONS crystal
Na 0.245 0.000 0.000
Na 0.247 0.200 0.200
Na 0.247 0.600 0.600
Na 0.249 0.400 0.400
Na 0.250 0.800 0.800
Na 0.750 0.800 0.800
Na 0.751 0.400 0.400
Na 0.753 0.200 0.200
Na 0.753 0.600 0.600
Na 0.755 0.000 0.000
B 0.000 0.073 0.073
B 0.000 0.266 0.266
B 0.000 0.461 0.461
B 0.000 0.532 0.532
B 0.000 0.669 0.669
B 0.000 0.863 0.863
B 0.500 0.130 0.130
B 0.500 0.265 0.265
B 0.500 0.331 0.331
B 0.500 0.536 0.536
B 0.500 0.723 0.723
B 0.500 0.873 0.873
B 0.500 0.941 0.941
C 0.000 0.137 0.137
C 0.000 0.332 0.332
C 0.000 0.734 0.734
C 0.000 0.929 0.929
C 0.500 0.066 0.066
C 0.500 0.472 0.472
C 0.500 0.661 0.661